No. 1
The following is a PBE calculation of an optimized crystal structure of PrGdI, from the Alexandria database. Values from VASP.

Results
Raw formation energy in eV per atom: -0.478
Energy above the lowest structure with this stoichiometry in meV/atom: 86

```
&SYSTEM
  ibrav = 0, nat = 3, ntyp = 3
/
ATOMIC_SPECIES
Pr 140.91 Pr.upf
I 126.90 I.upf
Gd 157.25 Gd.upf
CELL_PARAMETERS angstrom
-3.163 -2.010 0.109
1.652 -2.708 -2.000
2.959 -0.778 7.012
ATOMIC_POSITIONS crystal
Pr 0.003 0.003 0.006
I 0.670 0.670 0.340
Gd 0.327 0.327 0.654
```


No. 2
The following is a PBE calculation of an optimized crystal structure of AlCo2GeMo, from the Alexandria database. Values from VASP.

Results
ΔH_f (0 K) in eV per atom: 1.24

```
&SYSTEM
  ibrav = 0, nat = 5, ntyp = 4
/
ATOMIC_SPECIES
Mo 95.94 Mo.upf
Co 58.93 Co.upf
Ge 72.64 Ge.upf
Al 26.98 Al.upf
CELL_PARAMETERS angstrom
-0.885 -2.439 3.602
4.752 -0.893 0.563
0.379 3.618 2.544
ATOMIC_POSITIONS crystal
Mo 0.000 0.000 0.000
Co 0.000 0.000 0.500
Co 0.500 0.000 0.000
Ge 0.500 0.500 0.500
Al 0.000 0.500 0.000
```


No. 3
The following is a PBE calculation of an optimized crystal structure of CdHgRh2, from the Alexandria database. Values from VASP.

Results
ΔH_f (0 K) in eV per atom: 0.18

```
&SYSTEM
  ibrav = 0, nat = 4, ntyp = 3
/
ATOMIC_SPECIES
Cd 112.41 Cd.upf
Hg 200.59 Hg.upf
Rh 102.91 Rh.upf
CELL_PARAMETERS angstrom
-2.476 0.025 -1.782
-2.687 -0.668 3.725
-0.377 4.828 0.593
ATOMIC_POSITIONS crystal
Cd 0.500 0.500 0.000
Hg 0.000 0.500 0.500
Rh 0.000 0.000 0.000
Rh 0.500 0.000 0.500
```


No. 4
The following is a PBE calculation of an optimized crystal structure of Sn2GePt2, from the Alexandria database. Values from VASP.

Results
ΔH_f (0 K) in eV per atom: -0.29
Energy above the lowest structure with this stoichiometry in meV/atom: 0

```
&SYSTEM
  ibrav = 0, nat = 10, ntyp = 3
/
ATOMIC_SPECIES
Sn 118.71 Sn.upf
Ge 72.64 Ge.upf
Pt 195.08 Pt.upf
CELL_PARAMETERS angstrom
3.434 0.000 0.000
0.000 7.053 0.000
-1.717 0.000 8.782
ATOMIC_POSITIONS crystal
Sn 0.039 0.267 0.079
Sn 0.196 0.498 0.393
Sn 0.804 0.998 0.607
Sn 0.961 0.767 0.921
Ge 0.626 0.904 0.253
Ge 0.374 0.404 0.747
Pt 0.566 0.590 0.131
Pt 0.184 0.107 0.367
Pt 0.816 0.607 0.633
Pt 0.434 0.090 0.869
```


No. 5
The following is a PBE calculation of an optimized crystal structure of YTi2O4, from the Alexandria database. Values from VASP.

Results
Raw formation energy in eV per atom: -2.849
Energy above the lowest structure with this stoichiometry in meV/atom: 0

```
&SYSTEM
  ibrav = 0, nat = 14, ntyp = 3
/
ATOMIC_SPECIES
Y 88.91 Y.upf
Ti 47.87 Ti.upf
O 16.00 O.upf
CELL_PARAMETERS angstrom
-2.918 2.918 4.983
2.918 -2.918 4.983
2.918 2.918 -4.983
ATOMIC_POSITIONS crystal
Y 0.750 0.250 0.500
Y 0.000 0.000 0.000
Ti 0.375 0.625 0.750
Ti 0.875 0.625 0.250
Ti 0.375 0.125 0.750
Ti 0.375 0.625 0.250
O 0.032 0.395 0.032
O 0.363 0.000 0.968
O 0.718 0.855 0.468
O 0.387 0.250 0.532
O 0.145 0.613 0.863
O 0.750 0.282 0.137
O 0.000 0.968 0.363
O 0.605 0.637 0.637
```


No. 6
The following is a PBE calculation of an optimized crystal structure of GaSb3Ru, from the Alexandria database. Values from VASP.

Results
Raw formation energy in eV per atom: 0.438
Energy above the lowest structure with this stoichiometry in meV/atom: 0

```
&SYSTEM
  ibrav = 0, nat = 5, ntyp = 3
/
ATOMIC_SPECIES
Sb 121.76 Sb.upf
Ga 69.72 Ga.upf
Ru 101.07 Ru.upf
CELL_PARAMETERS angstrom
-4.341 -1.399 -2.571
0.101 -4.668 2.369
-2.925 1.914 3.897
ATOMIC_POSITIONS crystal
Sb 0.000 0.500 0.000
Sb 0.000 0.000 0.500
Sb 0.500 0.000 0.000
Ga 0.500 0.500 0.500
Ru 0.000 0.000 0.000
```


No. 7
The following is a PBE calculation of an optimized crystal structure of Sb2MoCl, from the Alexandria database. Values from VASP.

Results
Raw formation energy in eV per atom: 0.252
Energy above the lowest structure with this stoichiometry in meV/atom: 265

```
&SYSTEM
  ibrav = 0, nat = 4, ntyp = 3
/
ATOMIC_SPECIES
Cl 35.45 Cl.upf
Mo 95.94 Mo.upf
Sb 121.76 Sb.upf
CELL_PARAMETERS angstrom
3.518 0.000 0.000
0.000 3.518 0.000
0.000 0.000 7.819
ATOMIC_POSITIONS crystal
Cl 0.000 0.000 0.566
Mo 0.500 0.500 0.797
Sb 0.000 0.000 0.952
Sb 0.500 0.500 0.185
```


No. 8
The following is a PBE calculation of an optimized crystal structure of Li8InAg2, from the Alexandria database. Values from VASP.

Results
ΔH_f (0 K) in eV per atom: -0.10
Energy above the lowest structure with this stoichiometry in meV/atom: 77

```
&SYSTEM
  ibrav = 0, nat = 11, ntyp = 3
/
ATOMIC_SPECIES
Li 6.94 Li.upf
In 114.82 In.upf
Ag 107.87 Ag.upf
CELL_PARAMETERS angstrom
4.614 1.224 0.000
1.999 7.245 0.000
1.000 3.622 6.499
ATOMIC_POSITIONS crystal
Li 0.858 0.090 0.236
Li 0.858 0.326 0.764
Li 0.306 0.407 0.000
Li 0.500 0.783 0.435
Li 0.500 0.217 0.565
Li 0.694 0.593 0.000
Li 0.142 0.674 0.236
Li 0.142 0.910 0.764
In 0.500 0.000 0.000
Ag 0.000 0.314 0.372
Ag 0.000 0.686 0.628
```


No. 9
The following is a PBE calculation of an optimized crystal structure of MgZnO2, from the Alexandria database. Values from VASP.

Results
Raw formation energy in eV per atom: -1.262
Energy above the lowest structure with this stoichiometry in meV/atom: 780

```
&SYSTEM
  ibrav = 0, nat = 4, ntyp = 3
/
ATOMIC_SPECIES
Zn 65.41 Zn.upf
Mg 24.30 Mg.upf
O 16.00 O.upf
CELL_PARAMETERS angstrom
4.895 -2.593 2.519
6.050 -0.351 0.549
4.988 0.465 3.455
ATOMIC_POSITIONS crystal
Zn 0.500 0.500 0.500
Mg 0.000 0.000 0.000
O 0.895 0.895 0.895
O 0.105 0.105 0.105
```


No. 10
The following is a PBE calculation of an optimized crystal structure of Pr5YSn4, from the Alexandria database. Values from VASP.

Results
ΔH_f (0 K) in eV per atom: -0.56

```
&SYSTEM
  ibrav = 0, nat = 10, ntyp = 3
/
ATOMIC_SPECIES
Pr 140.91 Pr.upf
Y 88.91 Y.upf
Sn 118.71 Sn.upf
CELL_PARAMETERS angstrom
5.455 0.000 0.000
0.000 6.783 -2.751
-2.728 -3.537 10.454
ATOMIC_POSITIONS crystal
Pr 0.833 0.672 0.665
Pr 0.834 0.167 0.669
Pr 0.166 0.833 0.331
Pr 0.500 0.500 0.000
Pr 0.167 0.328 0.335
Y 0.500 0.000 0.000
Sn 0.327 0.903 0.654
Sn 0.992 0.743 0.984
Sn 0.673 0.097 0.346
Sn 0.008 0.257 0.016
```


No. 11
The following is a PBE calculation of an optimized crystal structure of Mn2TlOs, from the Alexandria database. Values from VASP.

Results
ΔH_f (0 K) in eV per atom: 0.56
Energy above the lowest structure with this stoichiometry in meV/atom: 151

```
&SYSTEM
  ibrav = 0, nat = 4, ntyp = 3
/
ATOMIC_SPECIES
Mn 54.94 Mn.upf
Os 190.23 Os.upf
Tl 204.38 Tl.upf
CELL_PARAMETERS angstrom
5.321 0.000 -0.059
2.519 4.687 0.059
-3.366 -3.271 2.508
ATOMIC_POSITIONS crystal
Mn 0.988 0.988 0.000
Mn 0.743 0.243 0.500
Os 0.518 0.518 0.000
Tl 0.251 0.751 0.500
```


No. 12
The following is a PBE calculation of an optimized crystal structure of CdCu2Br, from the Alexandria database. Values from VASP.

Results
Raw formation energy in eV per atom: 0.056
Energy above the lowest structure with this stoichiometry in meV/atom: 6

```
&SYSTEM
  ibrav = 0, nat = 4, ntyp = 3
/
ATOMIC_SPECIES
Br 79.90 Br.upf
Cd 112.41 Cd.upf
Cu 63.55 Cu.upf
CELL_PARAMETERS angstrom
-4.243 1.373 2.058
-2.400 -0.163 4.282
-1.241 5.813 5.041
ATOMIC_POSITIONS crystal
Br 0.750 0.750 0.750
Cd 0.250 0.250 0.250
Cu 0.052 0.052 0.100
Cu 0.448 0.448 0.400
```


No. 13
The following is a PBE calculation of an optimized crystal structure of Y6InPd5, from the Alexandria database. Values from VASP.

Results
ΔH_f (0 K) in eV per atom: -0.79

```
&SYSTEM
  ibrav = 0, nat = 12, ntyp = 3
/
ATOMIC_SPECIES
Y 88.91 Y.upf
Pd 106.42 Pd.upf
In 114.82 In.upf
CELL_PARAMETERS angstrom
-4.035 2.951 -0.614
0.093 -1.322 -6.971
-2.502 -7.492 1.387
ATOMIC_POSITIONS crystal
Y 0.829 0.747 0.657
Y 0.829 0.253 0.657
Y 0.500 0.264 0.000
Y 0.500 0.736 0.000
Y 0.171 0.747 0.343
Y 0.171 0.253 0.343
Pd 0.666 0.500 0.335
Pd 0.349 0.000 0.694
Pd 0.000 0.500 0.000
Pd 0.651 0.000 0.306
Pd 0.334 0.500 0.665
In 0.000 0.000 0.000
```


No. 14
The following is a PBE calculation of an optimized crystal structure of Tb2Pr6Ho3Tl, from the Alexandria database. Values from VASP.

Results
ΔH_f (0 K) in eV per atom: -0.01

```
&SYSTEM
  ibrav = 0, nat = 12, ntyp = 4
/
ATOMIC_SPECIES
Tb 158.93 Tb.upf
Pr 140.91 Pr.upf
Ho 164.93 Ho.upf
Tl 204.38 Tl.upf
CELL_PARAMETERS angstrom
-2.182 2.042 -5.492
4.885 -3.898 0.184
-8.187 -8.515 1.283
ATOMIC_POSITIONS crystal
Tb 0.334 0.666 0.000
Tb 0.666 0.334 0.000
Pr 0.917 0.589 0.751
Pr 0.756 0.756 0.251
Pr 0.083 0.411 0.249
Pr 0.589 0.917 0.751
Pr 0.244 0.244 0.749
Pr 0.411 0.083 0.249
Ho 0.167 0.833 0.500
Ho 0.833 0.167 0.500
Ho 0.500 0.500 0.500
Tl 0.000 0.000 0.000
```


No. 15
The following is a PBE calculation of an optimized crystal structure of Mg2Pt3O8, from the Alexandria database. Values from VASP.

Results
Raw formation energy in eV per atom: -1.165

```
&SYSTEM
  ibrav = 0, nat = 13, ntyp = 3
/
ATOMIC_SPECIES
Mg 24.30 Mg.upf
Pt 195.08 Pt.upf
O 16.00 O.upf
CELL_PARAMETERS angstrom
5.346 0.277 0.440
0.490 5.186 2.459
0.488 0.021 5.739
ATOMIC_POSITIONS crystal
Mg 0.417 0.702 0.702
Mg 0.583 0.298 0.298
Pt 0.500 0.000 0.000
Pt 0.000 0.748 0.252
Pt 0.000 0.252 0.748
O 0.875 0.396 0.396
O 0.125 0.604 0.604
O 0.867 0.896 0.896
O 0.133 0.104 0.104
O 0.641 0.350 0.896
O 0.641 0.896 0.350
O 0.359 0.104 0.650
O 0.359 0.650 0.104
```


No. 16
The following is a PBE calculation of an optimized crystal structure of KH3S2, from the Alexandria database. Values from VASP.

```
&SYSTEM
  ibrav = 0, nat = 12, ntyp = 3
/
ATOMIC_SPECIES
K 39.10 K.upf
H 1.01 H.upf
S 32.06 S.upf
CELL_PARAMETERS angstrom
-2.453 1.802 -1.079
-4.222 -6.784 -1.733
-0.961 0.662 8.127
ATOMIC_POSITIONS crystal
K 0.382 0.967 0.764
K 0.618 0.033 0.236
H 0.307 0.340 0.614
H 0.104 0.717 0.207
H 0.477 0.691 0.954
H 0.693 0.660 0.386
H 0.523 0.309 0.046
H 0.896 0.283 0.793
S 0.195 0.713 0.390
S 0.805 0.287 0.610
S 0.986 0.744 0.972
S 0.014 0.256 0.028
```


No. 17
The following is a PBE calculation of an optimized crystal structure of Zr2NbSiIr, from the Alexandria database. Values from VASP.

Results
Raw formation energy in eV per atom: 0.293

```
&SYSTEM
  ibrav = 0, nat = 5, ntyp = 4
/
ATOMIC_SPECIES
Nb 92.91 Nb.upf
Ir 192.22 Ir.upf
Si 28.09 Si.upf
Zr 91.22 Zr.upf
CELL_PARAMETERS angstrom
4.924 0.000 0.000
0.000 4.313 0.000
0.000 0.000 4.924
ATOMIC_POSITIONS crystal
Nb 0.500 0.500 0.500
Ir 0.000 0.500 0.000
Si 0.000 0.000 0.000
Zr 0.000 0.000 0.500
Zr 0.500 0.000 0.000
```


No. 18
The following is a PBE calculation of an optimized crystal structure of Ho2PbS4, from the Alexandria database. Values from VASP.

Results
Raw formation energy in eV per atom: -1.632
Energy above the lowest structure with this stoichiometry in meV/atom: 7

```
&SYSTEM
  ibrav = 0, nat = 14, ntyp = 3
/
ATOMIC_SPECIES
Ho 164.93 Ho.upf
Pb 207.20 Pb.upf
S 32.06 S.upf
CELL_PARAMETERS angstrom
-3.266 1.998 0.979
-1.047 -6.483 1.759
5.188 2.483 12.238
ATOMIC_POSITIONS crystal
Ho 0.136 0.271 0.433
Ho 0.864 0.729 0.933
Ho 0.136 0.271 0.067
Ho 0.864 0.729 0.567
Pb 0.605 0.210 0.750
Pb 0.395 0.790 0.250
S 0.768 0.536 0.113
S 0.768 0.536 0.387
S 0.232 0.464 0.887
S 0.232 0.464 0.613
S 0.950 0.899 0.750
S 0.050 0.101 0.250
S 0.500 0.000 0.000
S 0.500 0.000 0.500
```


No. 19
The following is a PBE calculation of an optimized crystal structure of SrCoP4, from the Alexandria database. Values from VASP.

Results
ΔH_f (0 K) in eV per atom: 0.31

```
&SYSTEM
  ibrav = 0, nat = 6, ntyp = 3
/
ATOMIC_SPECIES
Sr 87.62 Sr.upf
Co 58.93 Co.upf
P 30.97 P.upf
CELL_PARAMETERS angstrom
2.029 -4.852 -0.928
1.647 -3.030 4.078
-2.764 -4.358 1.375
ATOMIC_POSITIONS crystal
Sr 0.750 0.750 0.750
Co 0.000 0.000 0.000
P 0.914 0.362 0.362
P 0.362 0.362 0.914
P 0.362 0.914 0.362
P 0.362 0.362 0.362
```


No. 20
The following is a PBE calculation of an optimized crystal structure of NdGdHoIn, from the Alexandria database. Values from VASP.

Results
ΔH_f (0 K) in eV per atom: -0.16

```
&SYSTEM
  ibrav = 0, nat = 4, ntyp = 4
/
ATOMIC_SPECIES
Gd 157.25 Gd.upf
Nd 144.24 Nd.upf
Ho 164.93 Ho.upf
In 114.82 In.upf
CELL_PARAMETERS angstrom
5.516 0.000 0.000
2.758 4.777 0.000
2.758 1.592 4.504
ATOMIC_POSITIONS crystal
Gd 0.500 0.500 0.500
Nd 0.000 0.000 0.000
Ho 0.250 0.250 0.250
In 0.750 0.750 0.750
```


Number 1: calculated total energy -7.28 eV/atom. Number 2: calculated total energy -5.45 eV/atom. Number 3: calculated total energy -3.80 eV/atom. Number 4: calculated total energy -5.23 eV/atom. Number 5: calculated total energy -8.86 eV/atom. Number 6: calculated total energy -4.50 eV/atom. Number 7: calculated total energy -4.98 eV/atom. Number 8: calculated total energy -2.26 eV/atom. Number 9: calculated total energy -4.46 eV/atom. Number 10: calculated total energy -5.20 eV/atom. Number 11: calculated total energy -7.42 eV/atom. Number 12: calculated total energy -2.64 eV/atom. Number 13: calculated total energy -6.41 eV/atom. Number 14: calculated total energy -4.51 eV/atom. Number 15: calculated total energy -5.86 eV/atom. Number 16: calculated total energy -3.46 eV/atom. Number 17: calculated total energy -8.00 eV/atom. Number 18: calculated total energy -5.83 eV/atom. Number 19: calculated total energy -4.76 eV/atom. Number 20: calculated total energy -6.70 eV/atom.